This record from Alexandria via LeMat-Bulk describes a relaxed structure of BaAc4S7. The functional is GGA-PBE.

a = 7.4833 Å, b = 7.4833 Å, c = 12.5900 Å
α = 105.31°, β = 105.31°, γ = 32.95°
Positions (direct):
Ba (0.0000, 0.0000, 0.0000)
Ac (0.1260, 0.1260, 0.4195)
Ac (0.2238, 0.2238, 0.8363)
Ac (0.4308, 0.4308, 0.6238)
Ac (0.8195, 0.8195, 0.2338)
S (0.0713, 0.0713, 0.6256)
S (0.1716, 0.1716, 0.2094)
S (0.3603, 0.3603, 0.0657)
S (0.4691, 0.4691, 0.3704)
S (0.5924, 0.5924, 0.8736)
S (0.7833, 0.7833, 0.4700)
S (0.8436, 0.8436, 0.7629)

Total moment = 0.0 μB per formula unit
DOS at the Fermi energy = 0.0 states/eV per cell
Total energy = -6.06 eV per atom
Mass density = 5.72 g cm⁻³


This record from Alexandria via LeMat-Bulk describes a relaxed structure of Ho6ErSc2. The functional is GGA-PBE.

a = 8.6612 Å, b = 8.6612 Å, c = 8.7609 Å
α = 115.62°, β = 115.62°, γ = 81.85°
Positions (direct):
Ho (0.0024, 0.3031, 0.9123)
Ho (0.0354, 0.7953, 0.5127)
Ho (0.2047, 0.9646, 0.9873)
Ho (0.2090, 0.3889, 0.3751)
Ho (0.3031, 0.0024, 0.4123)
Ho (0.3889, 0.2090, 0.8751)
Ho (0.6111, 0.7910, 0.1249)
Ho (0.6969, 0.9976, 0.5877)
Ho (0.7910, 0.6111, 0.6249)
Ho (0.7953, 0.0354, 0.0127)
Ho (0.9646, 0.2047, 0.4873)
Ho (0.9976, 0.6969, 0.0877)
Er (0.4159, 0.5841, 0.2500)
Er (0.5841, 0.4159, 0.7500)
Sc (0.2198, 0.5594, 0.8038)
Sc (0.4406, 0.7802, 0.6962)
Sc (0.5594, 0.2198, 0.3038)
Sc (0.7802, 0.4406, 0.1962)

Total moment = 0.0 μB per formula unit
DOS at the Fermi energy = 24.8 states/eV per cell
Total energy = -4.89 eV per atom
Mass density = 7.76 g cm⁻³


This record from Alexandria via LeMat-Bulk describes a relaxed structure of Sc3MnFe. The functional is GGA-PBE.

a = 4.6733 Å, b = 4.6733 Å, c = 4.6733 Å
α = 90.00°, β = 90.00°, γ = 90.00°
Positions (direct):
Sc (0.0000, 0.0000, 0.5000)
Sc (0.0000, 0.5000, 0.0000)
Sc (0.5000, 0.0000, 0.0000)
Mn (0.0000, 0.0000, 0.0000)
Fe (0.5000, 0.5000, 0.5000)

Total moment = 0.1 μB per formula unit
DOS at the Fermi energy = 5.3 states/eV per cell
Total energy = -6.60 eV per atom
Mass density = 4.00 g cm⁻³


This record from Alexandria via LeMat-Bulk describes a relaxed structure of K2AgTe3. The functional is GGA-PBE.

a = 7.5120 Å, b = 7.5120 Å, c = 12.0749 Å
α = 90.00°, β = 90.00°, γ = 120.00°
Positions (direct):
K (0.0000, 0.0000, 0.0000)
K (0.0000, 0.0000, 0.5000)
K (0.3333, 0.6667, 0.2425)
K (0.6667, 0.3333, 0.7575)
Ag (0.3333, 0.6667, 0.6575)
Ag (0.6667, 0.3333, 0.3425)
Te (0.1467, 0.2935, 0.7502)
Te (0.1467, 0.8533, 0.7502)
Te (0.2935, 0.1467, 0.2498)
Te (0.7065, 0.8533, 0.7502)
Te (0.8533, 0.1467, 0.2498)
Te (0.8533, 0.7065, 0.2498)

Total moment = 0.0 μB per formula unit
DOS at the Fermi energy = 6.5 states/eV per cell
Total energy = -2.77 eV per atom
Mass density = 3.20 g cm⁻³